Entry 1:
TbDy2Rh9: optimized geometry, PBE.

For the energy of formation, the calculation gives -0.570 eV per atom.

Cell: 5.258 5.258 9.286 Å, 73.55 73.55 60.00°
Fractional positions:
Rh (0.333, 0.333, 0.001)
Rh (0.667, 0.667, 0.999)
Dy (0.861, 0.861, 0.417)
Dy (0.139, 0.139, 0.583)
Rh (0.417, 0.918, 0.248)
Rh (0.417, 0.417, 0.248)
Rh (0.583, 0.082, 0.752)
Rh (0.082, 0.583, 0.752)
Rh (0.583, 0.583, 0.752)
Tb (0.000, 0.000, 0.000)
Rh (0.918, 0.417, 0.248)
Rh (0.500, 0.500, 0.500)

Entry 2:
SbRuSCl2: optimized geometry, PBE.

For the energy above the most stable polymorph in this dataset, the calculation gives 556 meV/atom.

Cell: 5.221 5.221 5.238 Å, 90.00 90.00 90.00°
Last column: magnetic moment on the atom in μB.
Fractional positions:
Sb (0.000, 0.000, 0.000)  0.01
Ru (0.500, 0.500, 0.500)  2.66
S (0.000, 0.000, 0.500)  0.03
Cl (0.500, 0.000, 0.000)  0.01
Cl (0.000, 0.500, 0.000)  0.01

Results for E_tot: -86.84, -17.59 (in eV per formula unit, following the order of the records).
Results for density of states at the Fermi level: 1.06, 1.03 (in states/eV/atom, following the order of the records).